## BaYCuBiO5 (GGA-PBEsol)

Data for an optimized crystal structure of BaYCuBiO5.

## Properties
N(E_F), states/eV/atom: 0.2282
Total magnetization, μB/f.u.: 0.0
Energy relative to the elements, uncorrected, eV per atom: -2.031

a = 3.877 Å, b = 3.877 Å, c = 9.108 Å
α = 90.00°, β = 90.00°, γ = 90.00°
Positions (direct):
O  0.000  0.500  0.282
O  0.000  0.500  0.588
O  0.500  0.000  0.282
O  0.500  0.500  0.974
O  0.500  0.000  0.588
Ba  0.000  0.000  0.053
Y  0.000  0.000  0.444
Bi  0.500  0.500  0.712
Cu  0.500  0.500  0.264